(1)
This record from Alexandria via LeMat-Bulk describes a relaxed PuTcGe crystal. The functional is PBE.

The polymorph energy (0 for the lowest one) is 0 meV/atom.

Lattice parameters (Å, degrees): 4.370 4.370 6.471 90.00 90.00 90.00
Atoms (fractional coordinates):
Pu  0.250  0.250  0.201
Pu  0.750  0.750  0.799
Tc  0.250  0.750  0.500
Tc  0.750  0.250  0.500
Ge  0.250  0.250  0.715
Ge  0.750  0.750  0.285

=====

(2)
This record from Alexandria via LeMat-Bulk describes a relaxed LiCdSe2 crystal. The functional is PBE.

The calculation puts the uncorrected formation energy at -2.32 eV/f.u.

Lattice parameters (Å, degrees): 14.209 3.201 4.071 90.00 90.00 90.00
Atoms (fractional coordinates):
Li  0.000  0.000  0.000
Li  0.500  0.500  0.000
Cd  0.251  0.000  0.496
Cd  0.751  0.500  0.496
Se  0.168  0.500  0.997
Se  0.436  0.000  0.500
Se  0.668  0.000  0.997
Se  0.936  0.500  0.500

=====

(3)
This record from Alexandria via LeMat-Bulk describes a relaxed SmPu3Th4Se8 crystal. The functional is PBE.

The calculation puts the uncorrected formation energy at -25.33 eV/f.u.

Lattice parameters (Å, degrees): 8.431 8.431 8.431 58.60 58.60 58.60
Atoms (fractional coordinates):
Sm  0.000  0.000  0.000
Pu  0.000  0.500  0.500
Pu  0.500  0.000  0.500
Pu  0.500  0.500  0.000
Th  0.000  0.000  0.500
Th  0.000  0.500  0.000
Th  0.500  0.000  0.000
Th  0.500  0.500  0.500
Se  0.248  0.248  0.745
Se  0.248  0.745  0.248
Se  0.254  0.254  0.254
Se  0.255  0.752  0.752
Se  0.745  0.248  0.248
Se  0.746  0.746  0.746
Se  0.752  0.255  0.752
Se  0.752  0.752  0.255

=====

(4)
This record from Alexandria via LeMat-Bulk describes a relaxed ScTa3I crystal. The functional is PBE.

The calculation puts the uncorrected formation energy at 10.15 eV/f.u. The polymorph energy (0 for the lowest one) is 313 meV/atom.

Lattice parameters (Å, degrees): 4.906 4.906 4.906 90.00 90.00 90.00
Atoms (fractional coordinates):
Sc  0.000  0.000  0.000
Ta  0.000  0.000  0.500
Ta  0.000  0.500  0.000
Ta  0.500  0.000  0.000
I  0.500  0.500  0.500

=====

(5)
This record from Alexandria via LeMat-Bulk describes a relaxed Pu4ThSe6 crystal. The functional is PBE.

The calculation puts the uncorrected formation energy at -16.52 eV/f.u.

Lattice parameters (Å, degrees): 7.112 7.112 20.798 90.00 90.00 146.52
Atoms (fractional coordinates):
Pu  0.089  0.911  0.628
Pu  0.089  0.911  0.872
Pu  0.360  0.640  0.538
Pu  0.360  0.640  0.962
Pu  0.640  0.360  0.038
Pu  0.640  0.360  0.462
Pu  0.911  0.089  0.128
Pu  0.911  0.089  0.372
Th  0.156  0.844  0.250
Th  0.844  0.156  0.750
Se  0.000  0.000  0.000
Se  0.000  0.000  0.500
Se  0.190  0.810  0.750
Se  0.269  0.731  0.092
Se  0.269  0.731  0.408
Se  0.449  0.551  0.668
Se  0.449  0.551  0.832
Se  0.551  0.449  0.168
Se  0.551  0.449  0.332
Se  0.731  0.269  0.592
Se  0.731  0.269  0.908
Se  0.810  0.190  0.250

=====

(6)
This record from Alexandria via LeMat-Bulk describes a relaxed NbRhW crystal. The functional is PBE.

The polymorph energy (0 for the lowest one) is 137 meV/atom.

Lattice parameters (Å, degrees): 4.517 4.550 9.497 90.00 90.00 90.00
Atoms (fractional coordinates):
Nb  0.000  0.000  0.000
Nb  0.000  0.000  0.334
Nb  0.000  0.500  0.500
Nb  0.000  0.500  0.834
Rh  0.500  0.000  0.174
Rh  0.500  0.000  0.489
Rh  0.500  0.500  0.674
Rh  0.500  0.500  0.989
W  0.000  0.000  0.672
W  0.000  0.500  0.172
W  0.500  0.000  0.827
W  0.500  0.500  0.327

=====

(7)
This record from Alexandria via LeMat-Bulk describes a relaxed MnBSbTe2 crystal. The functional is PBE.

The calculation puts the uncorrected formation energy at 5.88 eV/f.u. The polymorph energy (0 for the lowest one) is 0 meV/atom.

Lattice parameters (Å, degrees): 5.207 5.207 5.023 90.00 90.00 90.00
Atoms (fractional coordinates):
Mn  0.000  0.000  0.000
B  0.500  0.500  0.500
Sb  0.000  0.000  0.500
Te  0.000  0.500  0.000
Te  0.500  0.000  0.000

=====

(8)
This record from Alexandria via LeMat-Bulk describes a relaxed Sr3AcSb2P crystal. The functional is PBE.

The calculation puts the uncorrected formation energy at -6.96 eV/f.u.

Lattice parameters (Å, degrees): 5.573 5.781 17.202 90.00 90.00 90.00
Atoms (fractional coordinates):
Sr  0.000  0.000  0.000
Sr  0.000  0.500  0.323
Sr  0.000  0.500  0.677
Sr  0.500  0.000  0.177
Sr  0.500  0.000  0.823
Sr  0.500  0.500  0.500
Ac  0.000  0.000  0.500
Ac  0.500  0.500  0.000
Sb  0.000  0.500  0.131
Sb  0.000  0.500  0.869
Sb  0.500  0.000  0.369
Sb  0.500  0.000  0.631
P  0.000  0.500  0.500
P  0.500  0.000  0.000

=====

(9)
This record from Alexandria via LeMat-Bulk describes a relaxed CaTbPrAl crystal. The functional is PBE.

For the total energy, the calculation gives -3.86 eV/atom.

Lattice parameters (Å, degrees): 7.747 7.747 7.747 90.00 90.00 90.00
Atoms (fractional coordinates):
Ca  0.000  0.000  0.000
Ca  0.000  0.500  0.500
Ca  0.500  0.000  0.500
Ca  0.500  0.500  0.000
Tb  0.250  0.250  0.750
Tb  0.250  0.750  0.250
Tb  0.750  0.250  0.250
Tb  0.750  0.750  0.750
Pr  0.250  0.250  0.250
Pr  0.250  0.750  0.750
Pr  0.750  0.250  0.750
Pr  0.750  0.750  0.250
Al  0.000  0.000  0.500
Al  0.000  0.500  0.000
Al  0.500  0.000  0.000
Al  0.500  0.500  0.500

=====

Repeat the fifth record exactly.
This record from Alexandria via LeMat-Bulk describes a relaxed Pu4ThSe6 crystal. The functional is PBE.

The calculation puts the uncorrected formation energy at -16.52 eV/f.u.

Lattice parameters (Å, degrees): 7.112 7.112 20.798 90.00 90.00 146.52
Atoms (fractional coordinates):
Pu  0.089  0.911  0.628
Pu  0.089  0.911  0.872
Pu  0.360  0.640  0.538
Pu  0.360  0.640  0.962
Pu  0.640  0.360  0.038
Pu  0.640  0.360  0.462
Pu  0.911  0.089  0.128
Pu  0.911  0.089  0.372
Th  0.156  0.844  0.250
Th  0.844  0.156  0.750
Se  0.000  0.000  0.000
Se  0.000  0.000  0.500
Se  0.190  0.810  0.750
Se  0.269  0.731  0.092
Se  0.269  0.731  0.408
Se  0.449  0.551  0.668
Se  0.449  0.551  0.832
Se  0.551  0.449  0.168
Se  0.551  0.449  0.332
Se  0.731  0.269  0.592
Se  0.731  0.269  0.908
Se  0.810  0.190  0.250